Na2InB2 after structural relaxation. Source: Alexandria via LeMat-Bulk, functional PBE.

Structure (CIF):
```
data_Na2InB2
_chemical_formula_sum 'Na2 In1 B2'
_symmetry_space_group_name_H-M 'P 1'
_symmetry_Int_Tables_number 1
_symmetry_space_group_name_Hall 'P 1'
_cell_length_a 3.8951
_cell_length_b 3.8951
_cell_length_c 6.2451
_cell_angle_alpha 71.83
_cell_angle_beta 71.83
_cell_angle_gamma 90.00
loop_
_atom_site_label
_atom_site_fract_x
_atom_site_fract_y
_atom_site_fract_z
B1 0.5706 0.5706 0.8588
B2 0.4294 0.4294 0.1412
In1 0.0000 0.0000 0.0000
Na1 0.7500 0.2500 0.5000
Na2 0.2500 0.7500 0.5000
```

As for the density of states at the Fermi level: 1.71 states/eV/cell. Its formation energy is 708 meV per atom. The total magnetization comes out at 0.0 μB per cell. The calculation puts the energy above the lowest structure with this stoichiometry at 0.868 eV per formula unit.